Compound: TaHg2Sb
Source: Alexandria
Functional: GGA-PBEsol
Structure: optimized geometry

Unit cell a=4.0608 b=4.0608 c=5.7359 alpha=110.73 beta=110.73 gamma=90.00
Sites, in units of the cell vectors:
Ta 0.0000 0.0000 0.0000
Hg 0.2500 0.7500 0.5000
Hg 0.7500 0.2500 0.5000
Sb 0.5000 0.5000 0.0000

Output
Space-group type: I4/mmm
Formation energy without anion corrections in eV per atom: 0.41
V in Å³ per cell: 81.88